Compound: SbIrCl
Source: the Alexandria database
Functional: PBE
Structure: relaxed

Computed properties:
The offset from the most stable computed form comes out at 0.216 eV/atom. The value obtained for the formation energy from raw total energies is 0.18 eV/atom. As for the total energy: -4.76 eV/atom. The total magnetization is 0.23 μB per formula unit.

a = 7.0512 Å, b = 6.9655 Å, c = 3.2001 Å
α = 78.30°, β = 75.31°, γ = 26.39°
Last column: magnetic moment on the atom in μB.
Positions (direct):
Cl 0.0390 0.0390 0.9610  0.01
Ir 0.6704 0.6704 0.3296  0.23
Sb 0.2906 0.2906 0.7094  -0.01

---

Compound: Mn2VFe
Source: the Alexandria database
Functional: PBE
Structure: relaxed

Computed properties:
The formation energy comes out at 40 meV/atom. The offset from the most stable computed form comes out at 0.076 eV/atom. As for the total energy: -8.94 eV/atom. The total magnetization is 3.71 μB per formula unit.

a = 3.8719 Å, b = 3.4652 Å, c = 3.4652 Å
α = 90.00°, β = 90.00°, γ = 90.00°
Last column: magnetic moment on the atom in μB.
Positions (direct):
Fe 0.5000 0.0000 0.0000  1.36
Mn 0.0000 0.0000 0.5000  1.41
V 0.5000 0.5000 0.5000  -0.52
Mn 0.0000 0.5000 0.0000  1.41

---

Compound: Mo2IrRh
Source: the Alexandria database
Functional: PBE
Structure: relaxed

Computed properties:
The formation energy comes out at -83 meV/atom. The offset from the most stable computed form comes out at 0.174 eV/atom. As for the total energy: -9.55 eV/atom. The total magnetization is 0.00 μB per formula unit.

a = 2.7643 Å, b = 4.7782 Å, c = 5.5632 Å
α = 54.91°, β = 90.00°, γ = 90.00°
Positions (direct):
Mo 0.5000 0.5000 0.0000
Mo 0.0000 0.0000 0.0000
Rh 0.5000 0.5000 0.5000
Ir 0.0000 0.0000 0.5000

---

Compound: Re2P2O
Source: the Alexandria database
Functional: PBE
Structure: relaxed

Computed properties:
The offset from the most stable computed form comes out at 0.000 eV/atom. The value obtained for the formation energy from raw total energies is 0.09 eV/atom. As for the total energy: -8.04 eV/atom. The total magnetization is 0.00 μB per formula unit.

a = 6.5961 Å, b = 6.5961 Å, c = 3.0218 Å
α = 90.00°, β = 90.00°, γ = 90.00°
Positions (direct):
P 0.6411 0.8589 0.5000
P 0.3589 0.1411 0.5000
Re 0.1534 0.3466 0.0000
Re 0.8466 0.6534 0.0000
Re 0.6534 0.1534 0.0000
O 0.0000 0.0000 0.0000
O 0.5000 0.5000 0.0000
Re 0.3466 0.8466 0.0000
P 0.8589 0.3589 0.5000
P 0.1411 0.6411 0.5000

---

Compound: TbAl5Ag7
Source: the Alexandria database
Functional: PBE
Structure: relaxed

Computed properties:
The formation energy comes out at -198 meV/atom. As for the total energy: -3.53 eV/atom. The total magnetization is 0.00 μB per formula unit.

a = 5.4227 Å, b = 7.0929 Å, c = 7.0929 Å
α = 82.23°, β = 67.53°, γ = 67.53°
Positions (direct):
Ag 0.5066 0.1988 0.7880
Ag 0.5066 0.7880 0.1988
Al 0.0036 0.4937 0.0020
Ag 0.3338 0.6662 0.6662
Al 0.5007 0.0020 0.4937
Al 0.5007 0.4937 0.0020
Ag 0.9949 0.6615 0.3487
Al 0.7232 0.7768 0.7768
Tb 0.9995 0.0005 0.0005
Ag 0.6537 0.3463 0.3463
Al 0.0036 0.0020 0.4937
Ag 0.9949 0.3487 0.6615
Ag 0.2783 0.2217 0.2217

---

Compound: Tb6Ga3Ru
Source: the Alexandria database
Functional: PBE
Structure: relaxed

Computed properties:
The formation energy comes out at -236 meV/atom. As for the total energy: -4.85 eV/atom. The total magnetization is 0.00 μB per formula unit.

a = 8.4370 Å, b = 8.4370 Å, c = 8.4370 Å
α = 99.31°, β = 99.31°, γ = 99.31°
Positions (direct):
Ru 0.0000 0.0000 0.0000
Ga 0.3715 0.8701 0.7029
Tb 0.0653 0.3167 0.9650
Ga 0.8701 0.7029 0.3715
Tb 0.5736 0.8152 0.4380
Tb 0.9650 0.0653 0.3167
Tb 0.4264 0.1848 0.5620
Ga 0.1299 0.2971 0.6285
Tb 0.3167 0.9650 0.0653
Tb 0.6833 0.0350 0.9347
Tb 0.5620 0.4264 0.1848
Tb 0.1848 0.5620 0.4264
Ru 0.5000 0.5000 0.5000
Tb 0.9347 0.6833 0.0350
Ga 0.2971 0.6285 0.1299
Ga 0.7029 0.3715 0.8701
Tb 0.8152 0.4380 0.5736
Tb 0.0350 0.9347 0.6833
Tb 0.4380 0.5736 0.8152
Ga 0.6285 0.1299 0.2971

---

Compound: MnZn2Os
Source: the Alexandria database
Functional: PBE
Structure: relaxed

Computed properties:
The formation energy comes out at 168 meV/atom. The offset from the most stable computed form comes out at 0.136 eV/atom. As for the total energy: -5.57 eV/atom. The total magnetization is 3.69 μB per formula unit.

a = 4.7431 Å, b = 4.7431 Å, c = 2.6660 Å
α = 90.00°, β = 90.00°, γ = 111.13°
Last column: magnetic moment on the atom in μB.
Positions (direct):
Os 0.0000 0.5000 0.5000  0.34
Mn 0.5000 0.0000 0.5000  3.24
Zn 0.0000 0.0000 0.0000  -0.02
Zn 0.5000 0.5000 0.0000  -0.02

---

Compound: ZnBi2Pd2
Source: the Alexandria database
Functional: PBE
Structure: relaxed

Computed properties:
The formation energy comes out at -196 meV/atom. The offset from the most stable computed form comes out at 0.000 eV/atom. As for the total energy: -4.08 eV/atom. The total magnetization is 0.00 μB per formula unit.

a = 7.0059 Å, b = 7.0059 Å, c = 4.3517 Å
α = 90.00°, β = 90.00°, γ = 90.00°
Positions (direct):
Bi 0.8341 0.3341 0.5000
Pd 0.1446 0.3554 0.0000
Pd 0.8554 0.6446 0.0000
Pd 0.6446 0.1446 0.0000
Bi 0.6659 0.8341 0.5000
Pd 0.3554 0.8554 0.0000
Zn 0.5000 0.5000 0.0000
Bi 0.1659 0.6659 0.5000
Bi 0.3341 0.1659 0.5000
Zn 0.0000 0.0000 0.0000

---

Compound: Rb4Ho3ThS8
Source: the Alexandria database
Functional: PBE
Structure: relaxed

Computed properties:
The value obtained for the formation energy from raw total energies is -1.80 eV/atom. As for the total energy: -5.43 eV/atom. The total magnetization is 0.00 μB per formula unit.

a = 8.1638 Å, b = 9.0334 Å, c = 8.1641 Å
α = 116.87°, β = 120.00°, γ = 90.00°
Positions (direct):
S 0.2697 0.3091 0.5393
S 0.7278 0.6948 0.9613
Rb 0.5000 0.0000 0.0000
Rb 0.5000 0.0000 0.5000
Ho 0.5000 0.5000 0.5000
S 0.2335 0.6948 0.4671
Th 0.0000 0.5000 0.0000
S 0.2335 0.6948 0.9613
Rb 0.0000 0.0000 0.0000
Rb 0.0000 0.0000 0.5000
S 0.7665 0.3052 0.5329
S 0.7303 0.6909 0.4607
Ho 0.0000 0.5000 0.5000
S 0.7665 0.3052 0.0387
S 0.2722 0.3052 0.0387
Ho 0.5000 0.5000 0.0000

---

Compound: La2PmOsC2
Source: the Alexandria database
Functional: PBE
Structure: relaxed

Computed properties:
The formation energy comes out at -32 meV/atom. As for the total energy: -7.41 eV/atom. The total magnetization is 0.00 μB per formula unit.

a = 3.9429 Å, b = 5.8565 Å, c = 11.4465 Å
α = 90.00°, β = 90.00°, γ = 90.00°
Positions (direct):
C 0.0000 0.7351 0.8960
Pm 0.5000 0.5000 0.0000
Os 0.5000 0.5000 0.5000
C 0.5000 0.2351 0.6040
La 0.0000 0.5392 0.2948
C 0.5000 0.7649 0.3960
C 0.0000 0.2649 0.1040
La 0.0000 0.4608 0.7052
Pm 0.0000 0.0000 0.5000
La 0.5000 0.9608 0.7948
Os 0.0000 0.0000 0.0000
La 0.5000 0.0392 0.2052

---

Repeat the third record exactly.
Compound: Mo2IrRh
Source: the Alexandria database
Functional: PBE
Structure: relaxed

Computed properties:
The formation energy comes out at -83 meV/atom. The offset from the most stable computed form comes out at 0.174 eV/atom. As for the total energy: -9.55 eV/atom. The total magnetization is 0.00 μB per formula unit.

a = 2.7643 Å, b = 4.7782 Å, c = 5.5632 Å
α = 54.91°, β = 90.00°, γ = 90.00°
Positions (direct):
Mo 0.5000 0.5000 0.0000
Mo 0.0000 0.0000 0.0000
Rh 0.5000 0.5000 0.5000
Ir 0.0000 0.0000 0.5000